Here is crystalline RbTbNiTe3 at its relaxed geometry from the Open Quantum Materials Database. Energies are from PBE-GGA.

Output
V ... 32.22 A^3/atom
Offset from the most stable computed form ... 92.1 meV/atom

Cell lengths 11.0127, 4.3846, 16.0134 Å; angles 90.00, 90.00, 90.00 degrees
With the nearest neighbours (Å) after each atom.
Space group Pnma (No. 62)
Inequivalent atoms, fractional coordinates:
Rb 0.0444 0.2500 0.1656 [4 per cell]  8 Te 3.57-3.82
Tb 0.1516 0.7500 0.4435 [4 per cell]  6 Te 3.02-3.15
Ni 0.1500 0.2500 0.6240 [4 per cell]  4 Te 2.53-2.57
Te 0.0336 0.7500 0.6182 [4 per cell]  2 Ni 2.54
Te 0.1859 0.7500 0.0096 [4 per cell]  1 Ni 2.57
Te 0.2255 0.2500 0.7732 [4 per cell]  1 Ni 2.53


Here is crystalline RbTbNiTe3 at its relaxed geometry from the Open Quantum Materials Database. Energies are from PBE-GGA.

Output
V ... 34.38 A^3/atom
Offset from the most stable computed form ... 2.3 meV/atom

Cell lengths 9.7232, 4.3289, 10.5191 Å; angles 90.00, 111.29, 90.00 degrees
With the nearest neighbours (Å) after each atom.
Space group P2_1/m (No. 11)
Inequivalent atoms, fractional coordinates:
Rb 0.2177 0.2500 0.2639 [2 per cell]  7 Te 3.62-3.92
Tb 0.3223 0.7500 0.8605 [2 per cell]  6 Te 3.06-3.16
Ni 0.0969 0.2500 0.6229 [2 per cell]  4 Te 2.53-2.54
Te 0.1013 0.2500 0.8660 [2 per cell]  1 Ni 2.54
Te 0.1698 0.7500 0.5387 [2 per cell]  3 Ni 2.53-2.54
Te 0.4652 0.7500 0.1721 [2 per cell]  3 Tb 3.06-3.10


Here is crystalline RbTbNiTe3 at its relaxed geometry from the Open Quantum Materials Database. Energies are from PBE-GGA.

Output
V ... 33.61 A^3/atom
Offset from the most stable computed form ... 16.6 meV/atom

Cell lengths 4.2415, 17.7483, 10.7137 Å; angles 90.00, 90.00, 90.00 degrees
With the nearest neighbours (Å) after each atom.
Space group Cmcm (No. 63)
Inequivalent atoms, fractional coordinates:
Rb 0.0000 0.2448 0.2500 [4 per cell]  6 Te 3.63-3.71
Tb 0.0000 0.5000 0.0000 [4 per cell]  6 Te 3.02-3.08
Ni 0.0000 0.0089 0.7500 [4 per cell]  4 Te 2.54-2.63
Te 0.0000 0.1138 0.5885 [8 per cell]  1 Ni 2.54
Te 0.0000 0.4214 0.7500 [4 per cell]  2 Ni 2.63


Here is crystalline RbTbNiTe3 at its relaxed geometry from the Open Quantum Materials Database. Energies are from PBE-GGA.

Output
V ... 33.30 A^3/atom
Offset from the most stable computed form ... 32.2 meV/atom

Cell lengths 11.5285, 4.2818, 16.1898 Å; angles 90.00, 90.00, 90.00 degrees
With the nearest neighbours (Å) after each atom.
Space group Pnma (No. 62)
Inequivalent atoms, fractional coordinates:
Rb 0.2430 0.2500 0.0089 [4 per cell]  7 Te 3.68-3.98
Tb 0.0065 0.7500 0.2514 [4 per cell]  6 Te 3.02-3.08
Ni 0.2454 0.7500 0.7856 [4 per cell]  4 Te 2.57-2.61
Te 0.0621 0.7500 0.8761 [4 per cell]  1 Ni 2.57
Te 0.0734 0.2500 0.3786 [4 per cell]  1 Ni 2.57
Te 0.2442 0.2500 0.6939 [4 per cell]  2 Ni 2.61


Here is crystalline RbTcNi at its relaxed geometry from the Open Quantum Materials Database. Energies are from PBE-GGA.

Output
V ... 24.77 A^3/atom
Offset from the most stable computed form ... 0.0 meV/atom

Cell lengths 6.6737, 6.6737, 6.6737 Å; angles 90.00, 90.00, 90.00 degrees
With the nearest neighbours (Å) after each atom.
Space group F-43m (No. 216)
Inequivalent atoms, fractional coordinates:
Rb 0.0000 0.0000 0.0000 [4 per cell]  4 Ni 2.89
Tc 0.0000 0.0000 0.5000 [4 per cell]  4 Ni 2.89
Ni 0.2500 0.2500 0.2500 [4 per cell]  4 Tc 2.89, 4 Rb 2.89


Here is crystalline RbTcNi at its relaxed geometry from the Open Quantum Materials Database. Energies are from PBE-GGA.

Output
V ... 24.36 A^3/atom
Offset from the most stable computed form ... 707.2 meV/atom

Cell lengths 6.6369, 6.6369, 6.6369 Å; angles 90.00, 90.00, 90.00 degrees
With the nearest neighbours (Å) after each atom.
Space group F-43m (No. 216)
Inequivalent atoms, fractional coordinates:
Rb 0.0000 0.0000 0.0000 [4 per cell]  4 Tc 2.87, 4 Ni 2.87
Tc 0.2500 0.2500 0.2500 [4 per cell]  4 Rb 2.87
Ni 0.2500 0.2500 0.7500 [4 per cell]  4 Rb 2.87


Here is crystalline RbNi3Te5 at its relaxed geometry from the Open Quantum Materials Database. Energies are from PBE-GGA.

Output
Electronic total energy ... -3.931 eV/atom
V ... 26.86 A^3/atom

Cell lengths 5.9642, 5.9642, 7.8468 Å; angles 90.00, 90.00, 120.00 degrees
With the nearest neighbours (Å) after each atom.
Space group P6/mmm (No. 191)
Inequivalent atoms, fractional coordinates:
Rb 0.0000 0.0000 0.0000 [1 per cell]  14 Te 3.92-4.01
Ni 0.0000 0.5000 0.5000 [3 per cell]  4 Te 2.55
Te 0.0000 0.0000 0.5000 [1 per cell]  6 Ni 2.98
Te 0.3333 0.6667 0.2609 [4 per cell]  3 Ni 2.55


Here is crystalline RbNiTe at its relaxed geometry from the Open Quantum Materials Database. Energies are from PBE-GGA.

Output
Electronic total energy ... -2.361 eV/atom
V ... 37.20 A^3/atom

Cell lengths 7.6425, 7.6425, 7.6425 Å; angles 90.00, 90.00, 90.00 degrees
With the nearest neighbours (Å) after each atom.
Space group F-43m (No. 216)
Inequivalent atoms, fractional coordinates:
Rb 0.0000 0.0000 0.0000 [4 per cell]  4 Ni 3.31, 4 Te 3.31
Ni 0.2500 0.2500 0.7500 [4 per cell]  4 Rb 3.31
Te 0.2500 0.2500 0.2500 [4 per cell]  4 Rb 3.31


Here is crystalline RbNiTe at its relaxed geometry from the Open Quantum Materials Database. Energies are from PBE-GGA.

Output
Electronic total energy ... -3.103 eV/atom
V ... 28.58 A^3/atom

Cell lengths 6.9999, 6.9999, 6.9999 Å; angles 90.00, 90.00, 90.00 degrees
With the nearest neighbours (Å) after each atom.
Space group F-43m (No. 216)
Inequivalent atoms, fractional coordinates:
Rb 0.0000 0.0000 0.0000 [4 per cell]  4 Ni 3.03
Ni 0.2500 0.2500 0.2500 [4 per cell]  4 Te 3.03, 4 Rb 3.03
Te 0.0000 0.0000 0.5000 [4 per cell]  4 Ni 3.03


Here is crystalline RbNiTe at its relaxed geometry from the Open Quantum Materials Database. Energies are from PBE-GGA.

Output
Electronic total energy ... -2.884 eV/atom
V ... 33.21 A^3/atom

Cell lengths 7.3589, 7.3589, 7.3589 Å; angles 90.00, 90.00, 90.00 degrees
With the nearest neighbours (Å) after each atom.
Space group F-43m (No. 216)
Inequivalent atoms, fractional coordinates:
Rb 0.0000 0.0000 0.0000 [4 per cell]  4 Te 3.19
Ni 0.0000 0.0000 0.5000 [4 per cell]  4 Te 3.19
Te 0.2500 0.2500 0.7500 [4 per cell]  4 Ni 3.19, 4 Rb 3.19


Here is crystalline RbNi5Te8 at its relaxed geometry from the Open Quantum Materials Database. Energies are from PBE-GGA.

Output
Electronic total energy ... -4.133 eV/atom
V ... 23.87 A^3/atom

Cell lengths 20.1766, 3.9067, 8.8276 Å; angles 90.00, 106.17, 90.00 degrees
With the nearest neighbours (Å) after each atom.
Space group C2/m (No. 12)
Inequivalent atoms, fractional coordinates:
Rb 0.0000 0.0000 0.0000 [2 per cell]  10 Te 3.63-4.04, 2 Rb 3.91
Ni 0.0000 0.5000 0.5000 [2 per cell]  6 Te 2.57-2.60
Ni 0.1632 0.0000 0.5008 [4 per cell]  6 Te 2.58-2.66, 1 Ni 2.67
Ni 0.2028 0.0000 0.8160 [4 per cell]  6 Te 2.61-2.65, 1 Ni 2.67
Te 0.0705 0.0000 0.6633 [4 per cell]  4 Ni 2.60-2.66
Te 0.0917 0.5000 0.3477 [4 per cell]  3 Ni 2.57-2.58
Te 0.1737 0.5000 0.9863 [4 per cell]  3 Ni 2.61-2.63
Te 0.2424 0.5000 0.6576 [4 per cell]  5 Ni 2.65-2.66


Here is crystalline RbTmNiTe3 at its relaxed geometry from the Open Quantum Materials Database. Energies are from PBE-GGA.

Output
Electronic total energy ... -4.133 eV/atom
V ... 31.34 A^3/atom

Cell lengths 17.2313, 4.5094, 9.7146 Å; angles 90.00, 94.80, 90.00 degrees
With the nearest neighbours (Å) after each atom.
Space group C2/m (No. 12)
Inequivalent atoms, fractional coordinates:
Rb 0.1518 0.0000 0.0876 [4 per cell]  7 Te 3.50-3.91
Tm 0.1642 0.0000 0.5887 [4 per cell]  6 Te 2.89-3.10
Ni 0.0048 0.5000 0.3601 [4 per cell]  4 Te 2.58-2.68, 1 Ni 2.74
Te 0.0000 0.0000 0.5000 [2 per cell]  4 Ni 2.64, 2 Tm 2.89
Te 0.0000 0.5000 0.0000 [2 per cell]  2 Te 3.13, 2 Ni 3.49, 4 Rb 3.50
Te 0.1269 0.5000 0.7870 [4 per cell]  1 Ni 2.58
Te 0.1607 0.5000 0.3698 [4 per cell]  1 Ni 2.68


Here is crystalline RbTmNiTe3 at its relaxed geometry from the Open Quantum Materials Database. Energies are from PBE-GGA.

Output
Electronic total energy ... -4.301 eV/atom
V ... 33.77 A^3/atom

Cell lengths 9.7136, 4.2902, 10.4957 Å; angles 90.00, 112.10, 90.00 degrees
With the nearest neighbours (Å) after each atom.
Space group P2_1/m (No. 11)
Inequivalent atoms, fractional coordinates:
Rb 0.2171 0.2500 0.2624 [2 per cell]  7 Te 3.63-3.87
Tm 0.3238 0.7500 0.8598 [2 per cell]  6 Te 3.02-3.13
Ni 0.0987 0.2500 0.6225 [2 per cell]  4 Te 2.53-2.54
Te 0.1080 0.2500 0.8673 [2 per cell]  1 Ni 2.54
Te 0.1731 0.7500 0.5383 [2 per cell]  3 Ni 2.53-2.54
Te 0.4663 0.7500 0.1700 [2 per cell]  3 Tm 3.02-3.06


Here is crystalline RbYNiTe3 at its relaxed geometry from the Open Quantum Materials Database. Energies are from PBE-GGA.

Output
Electronic total energy ... -4.582 eV/atom
V ... 31.18 A^3/atom

Cell lengths 12.1100, 4.5431, 13.6016 Å; angles 90.00, 90.00, 90.00 degrees
With the nearest neighbours (Å) after each atom.
Space group Pnma (No. 62)
Inequivalent atoms, fractional coordinates:
Rb 0.1610 0.2500 0.0027 [4 per cell]  7 Te 3.57-3.77, 2 Ni 3.84
Y 0.0008 0.7500 0.6633 [4 per cell]  7 Te 3.09-3.44
Ni 0.2291 0.2500 0.7078 [4 per cell]  4 Te 2.52-2.58
Te 0.0589 0.7500 0.1919 [4 per cell]  1 Ni 2.58
Te 0.1171 0.2500 0.5477 [4 per cell]  1 Ni 2.57
Te 0.2218 0.7500 0.7881 [4 per cell]  2 Ni 2.52


Here is crystalline RbTlNi at its relaxed geometry from the Open Quantum Materials Database. Energies are from PBE-GGA.

Output
V ... 37.73 A^3/atom
Offset from the most stable computed form ... 484.6 meV/atom

Cell lengths 7.6785, 7.6785, 7.6785 Å; angles 90.00, 90.00, 90.00 degrees
With the nearest neighbours (Å) after each atom.
Space group F-43m (No. 216)
Inequivalent atoms, fractional coordinates:
Rb 0.0000 0.0000 0.0000 [4 per cell]  4 Ni 3.32, 4 Tl 3.32
Tl 0.2500 0.2500 0.2500 [4 per cell]  4 Rb 3.32
Ni 0.2500 0.2500 0.7500 [4 per cell]  4 Rb 3.32


Here is crystalline RbTlNi at its relaxed geometry from the Open Quantum Materials Database. Energies are from PBE-GGA.

Output
V ... 31.61 A^3/atom
Offset from the most stable computed form ... 0.0 meV/atom

Cell lengths 7.2386, 7.2386, 7.2386 Å; angles 90.00, 90.00, 90.00 degrees
With the nearest neighbours (Å) after each atom.
Space group F-43m (No. 216)
Inequivalent atoms, fractional coordinates:
Rb 0.0000 0.0000 0.0000 [4 per cell]  4 Ni 3.13
Tl 0.0000 0.0000 0.5000 [4 per cell]  4 Ni 3.13
Ni 0.2500 0.2500 0.2500 [4 per cell]  4 Tl 3.13, 4 Rb 3.13


Here is crystalline RbUNi at its relaxed geometry from the Open Quantum Materials Database. Energies are from PBE-GGA.

Output
Electronic total energy ... -4.271 eV/atom
V ... 26.63 A^3/atom

Cell lengths 6.8364, 6.8364, 6.8364 Å; angles 90.00, 90.00, 90.00 degrees
With the nearest neighbours (Å) after each atom.
Space group F-43m (No. 216)
Inequivalent atoms, fractional coordinates:
Rb 0.0000 0.0000 0.0000 [4 per cell]  4 U 2.96
U 0.2500 0.2500 0.7500 [4 per cell]  4 Ni 2.96, 4 Rb 2.96
Ni 0.0000 0.0000 0.5000 [4 per cell]  4 U 2.96


Here is crystalline Re4Ni9 at its relaxed geometry from the Open Quantum Materials Database. Energies are from PBE-GGA.

Output
DFT formation energy ... 0.09 eV/atom
V ... 12.08 A^3/atom
Offset from the most stable computed form ... 85.0 meV/atom

Cell lengths 4.6696, 4.6696, 24.9533 Å; angles 90.00, 90.00, 120.00 degrees
With the nearest neighbours (Å) after each atom.
Space group R-3m (No. 166, hexagonal axes)
Inequivalent atoms, fractional coordinates:
Re 0.0000 0.0000 0.0478 [6 per cell]  1 Re 2.38, 7 Ni 2.57-2.59
Re 0.0000 0.0000 0.3346 [6 per cell]  6 Ni 2.61-2.65, 3 Re 2.70
Ni 0.0000 0.0000 0.1517 [6 per cell]  1 Re 2.59, 15 Ni 2.64-2.80
Ni 0.0000 0.0000 0.5000 [3 per cell]  6 Ni 2.34
Ni 0.0025 0.5013 0.9095 [18 per cell]  5 Ni 2.32-2.35, 2 Re 2.57


Here is crystalline Re5Ni7 at its relaxed geometry from the Open Quantum Materials Database. Energies are from PBE-GGA.

Output
DFT formation energy ... 0.36 eV/atom
V ... 13.14 A^3/atom
Offset from the most stable computed form ... 70.0 meV/atom

Cell lengths 4.8843, 4.8843, 15.2686 Å; angles 90.00, 90.00, 120.00 degrees
With the nearest neighbours (Å) after each atom.
Space group P6_3/mmc (No. 194)
Inequivalent atoms, fractional coordinates:
Re 0.0000 0.0000 0.0805 [4 per cell]  1 Re 2.46, 6 Ni 2.73
Re 0.1632 0.3263 0.2500 [6 per cell]  4 Re 2.39-2.49, 2 Ni 2.46
Ni 0.0000 0.5000 0.0000 [6 per cell]  6 Ni 2.31-2.44
Ni 0.3333 0.6667 0.1197 [4 per cell]  3 Ni 2.31, 3 Re 2.46
Ni 0.3333 0.6667 0.6595 [4 per cell]  7 Ni 2.76-2.88, 9 Re 2.81-3.07


Here is crystalline Re14Ni at its relaxed geometry from the Open Quantum Materials Database. Energies are from PBE-GGA.

Output
DFT formation energy ... 0.05 eV/atom
V ... 14.73 A^3/atom

Cell lengths 9.4400, 9.4400, 4.9589 Å; angles 90.00, 90.00, 90.00 degrees
With the nearest neighbours (Å) after each atom.
Space group P4_2/mnm (No. 136)
Inequivalent atoms, fractional coordinates:
Re 0.0380 0.3641 0.0000 [8 per cell]  6 Re 2.62-2.73
Re 0.0646 0.2578 0.5000 [8 per cell]  1 Ni 2.51, 9 Re 2.58-2.78
Re 0.0925 0.0925 0.0000 [4 per cell]  3 Re 2.47-2.62
Re 0.1795 0.8205 0.2508 [8 per cell]  4 Re 2.47-2.72, 1 Ni 2.70
Ni 0.0000 0.0000 0.5000 [2 per cell]  12 Re 2.51-2.77